Compound: KMn2Cd
Source: Alexandria
Functional: PBE-GGA
Structure: optimized geometry

The space group is Immm (No. 71) and the conventional cell measures 3.072, 5.606 and 11.117 Å, with angles of 90.00, 90.00 and 90.00 degrees. The asymmetric unit holds K at (0.000, 0.000, 0.000), Mn at (0.000, 0.500, 0.217) and Cd at (0.000, 0.000, 0.500).

Its density of states at the Fermi level is 5.90 states/eV/cell. The calculation puts the density at 4.53 Mg/m³. The formation energy comes out at 75.4 kJ/mol of atoms. For the total DFT energy (no corrections), the calculation gives -4.306 eV/atom.


Compound: KMnCd4
Source: Alexandria
Functional: PBE-GGA
Structure: optimized geometry

The space group is F-43m (No. 216) and the conventional cell measures 8.399, 8.399 and 8.399 Å, with angles of 90.00, 90.00 and 90.00 degrees. The asymmetric unit holds K at (0.000, 0.000, 0.000), Mn at (0.250, 0.250, 0.750) and Cd at (0.124, 0.124, 0.376).

Its density of states at the Fermi level is 15.62 states/eV/cell. The calculation puts the density at 6.09 Mg/m³. The formation energy comes out at 24.0 kJ/mol of atoms. For the total DFT energy (no corrections), the calculation gives -2.073 eV/atom.


Compound: K2MnCd
Source: Alexandria
Functional: PBE-GGA
Structure: optimized geometry

The space group is R-3m (No. 166, hexagonal axes) and the conventional cell measures 3.6455, 3.6455 and 36.9293 Å, with angles of 90.00, 90.00 and 120.00 degrees. The asymmetric unit holds K at (0.0000, 0.0000, 0.2482), Mn at (0.0000, 0.0000, 0.5000) and Cd at (0.0000, 0.0000, 0.0000).

Its density of states at the Fermi level is 10.16 states/eV/cell. The calculation puts the density at 2.88 Mg/m³. The formation energy comes out at 63.3 kJ/mol of atoms. For the total DFT energy (no corrections), the calculation gives -2.414 eV/atom.


Compound: K2MnCd
Source: Alexandria
Functional: PBE-GGA
Structure: optimized geometry

The space group is P4/mmm (No. 123) and the conventional cell measures 5.299, 5.299 and 5.137 Å, with angles of 90.00, 90.00 and 90.00 degrees. The asymmetric unit holds K at (0.000, 0.500, 0.000), Mn at (0.000, 0.000, 0.500) and Cd at (0.500, 0.500, 0.500).

Its density of states at the Fermi level is 3.73 states/eV/cell. The calculation puts the density at 2.83 Mg/m³. The formation energy comes out at 56.8 kJ/mol of atoms. For the total DFT energy (no corrections), the calculation gives -2.481 eV/atom.


Compound: K2MnCd
Source: Alexandria
Functional: PBE-GGA
Structure: optimized geometry

The space group is I-4m2 (No. 119) and the conventional cell measures 5.688, 5.688 and 8.168 Å, with angles of 90.00, 90.00 and 90.00 degrees. The asymmetric unit holds K at (0.000, 0.000, 0.000), K at (0.000, 0.500, 0.250), Mn at (0.000, 0.500, 0.750) and Cd at (0.000, 0.000, 0.500).

Its density of states at the Fermi level is 9.64 states/eV/cell. The calculation puts the density at 3.09 Mg/m³. The formation energy comes out at 53.9 kJ/mol of atoms. For the total DFT energy (no corrections), the calculation gives -2.511 eV/atom.


Compound: K2MnCd
Source: Alexandria
Functional: PBE-GGA
Structure: optimized geometry

The space group is I-42d (No. 122) and the conventional cell measures 9.689, 9.689 and 6.317 Å, with angles of 90.00, 90.00 and 90.00 degrees. The asymmetric unit holds K at (0.243, 0.750, 0.125), Mn at (0.000, 0.000, 0.500) and Cd at (0.000, 0.000, 0.000).

Its density of states at the Fermi level is 24.59 states/eV/cell. The calculation puts the density at 2.75 Mg/m³. The formation energy comes out at 64.8 kJ/mol of atoms. For the total DFT energy (no corrections), the calculation gives -2.398 eV/atom.


Compound: KMn2Cd
Source: Alexandria
Functional: PBE-GGA
Structure: optimized geometry

The space group is C2/m (No. 12) and the conventional cell measures 9.683, 3.054 and 7.028 Å, with angles of 90.00, 95.84 and 90.00 degrees. The asymmetric unit holds K at (0.000, 0.000, 0.000), Mn at (0.235, 0.000, 0.648) and Cd at (0.000, 0.500, 0.500).

Its density of states at the Fermi level is 5.85 states/eV/cell. The calculation puts the density at 4.20 Mg/m³. The formation energy comes out at 63.0 kJ/mol of atoms. For the total DFT energy (no corrections), the calculation gives -4.435 eV/atom.


Compound: K2MnCd
Source: Alexandria
Functional: PBE-GGA
Structure: optimized geometry

The space group is Immm (No. 71) and the conventional cell measures 5.157, 5.190 and 10.672 Å, with angles of 90.00, 90.00 and 90.00 degrees. The asymmetric unit holds K at (0.000, 0.000, 0.250), Mn at (0.000, 0.500, 0.000) and Cd at (0.000, 0.500, 0.500).

Its density of states at the Fermi level is 8.43 states/eV/cell. The calculation puts the density at 2.85 Mg/m³. The formation energy comes out at 57.4 kJ/mol of atoms. For the total DFT energy (no corrections), the calculation gives -2.475 eV/atom.


Compound: K2MnCd
Source: Alexandria
Functional: PBE-GGA
Structure: optimized geometry

The space group is Imm2 (No. 44) and the conventional cell measures 4.020, 6.149 and 12.164 Å, with angles of 90.00, 90.00 and 90.00 degrees. The asymmetric unit holds K at (0.000, 0.000, 0.000), K at (0.000, 0.500, 0.202), Mn at (0.000, 0.000, 0.422) and Cd at (0.000, 0.500, 0.768).

Its density of states at the Fermi level is 6.12 states/eV/cell. The calculation puts the density at 2.71 Mg/m³. The formation energy comes out at 45.0 kJ/mol of atoms. For the total DFT energy (no corrections), the calculation gives -2.603 eV/atom.


Compound: KMnCd
Source: Alexandria
Functional: PBE-GGA
Structure: optimized geometry

The space group is F-43m (No. 216) and the conventional cell measures 7.335, 7.335 and 7.335 Å, with angles of 90.00, 90.00 and 90.00 degrees. The asymmetric unit holds K at (0.000, 0.000, 0.000), Mn at (0.250, 0.250, 0.750) and Cd at (0.000, 0.000, 0.500).

Its density of states at the Fermi level is 15.17 states/eV/cell. The calculation puts the density at 3.47 Mg/m³. The formation energy comes out at 75.3 kJ/mol of atoms. For the total DFT energy (no corrections), the calculation gives -2.947 eV/atom.


Compound: KMn2Cd
Source: Alexandria
Functional: PBE-GGA
Structure: optimized geometry

The space group is Cmmm (No. 65) and the conventional cell measures 6.272, 10.121 and 2.918 Å, with angles of 90.00, 90.00 and 90.00 degrees. The asymmetric unit holds K at (0.000, 0.000, 0.000), Mn at (0.250, 0.250, 0.500) and Cd at (0.000, 0.500, 0.000).

Its density of states at the Fermi level is 10.39 states/eV/cell. The calculation puts the density at 4.69 Mg/m³. The formation energy comes out at 89.9 kJ/mol of atoms. For the total DFT energy (no corrections), the calculation gives -4.156 eV/atom.


Compound: KMn2Cd
Source: Alexandria
Functional: PBE-GGA
Structure: optimized geometry

The space group is Pmmm (No. 47) and the conventional cell measures 2.916, 4.523 and 7.110 Å, with angles of 90.00, 90.00 and 90.00 degrees. The asymmetric unit holds K at (0.000, 0.000, 0.000), Mn at (0.500, 0.500, 0.357) and Cd at (0.000, 0.000, 0.500).

Its density of states at the Fermi level is 3.58 states/eV/cell. The calculation puts the density at 4.63 Mg/m³. The formation energy comes out at 84.1 kJ/mol of atoms. For the total DFT energy (no corrections), the calculation gives -4.217 eV/atom.


Compound: KMnCd3
Source: Alexandria
Functional: PBE-GGA
Structure: optimized geometry

The space group is Pm-3m (No. 221) and the conventional cell measures 6.218, 6.218 and 6.218 Å, with angles of 90.00, 90.00 and 90.00 degrees. The asymmetric unit holds K at (0.000, 0.000, 0.000), Mn at (0.500, 0.500, 0.500) and Cd at (0.000, 0.000, 0.500).

Its density of states at the Fermi level is 6.46 states/eV/cell. The calculation puts the density at 2.98 Mg/m³. The formation energy comes out at 103.3 kJ/mol of atoms. For the total DFT energy (no corrections), the calculation gives -1.532 eV/atom.


Compound: KMn2Cd
Source: Alexandria
Functional: PBE-GGA
Structure: optimized geometry

The space group is R3m (No. 160, hexagonal axes) and the conventional cell measures 3.0608, 3.0608 and 32.1498 Å, with angles of 90.00, 90.00 and 120.00 degrees. The asymmetric unit holds K at (0.0000, 0.0000, 0.0000), Mn at (0.0000, 0.0000, 0.2377), Mn at (0.0000, 0.0000, 0.5079) and Cd at (0.0000, 0.0000, 0.7657).

Its density of states at the Fermi level is 8.97 states/eV/cell. The calculation puts the density at 4.99 Mg/m³. The formation energy comes out at 66.8 kJ/mol of atoms. For the total DFT energy (no corrections), the calculation gives -4.396 eV/atom.


Compound: KMn2Cd
Source: Alexandria
Functional: PBE-GGA
Structure: optimized geometry

The space group is P4/mmm (No. 123) and the conventional cell measures 4.476, 4.476 and 4.833 Å, with angles of 90.00, 90.00 and 90.00 degrees. The asymmetric unit holds K at (0.000, 0.000, 0.000), Mn at (0.000, 0.500, 0.500) and Cd at (0.500, 0.500, 0.000).

Its density of states at the Fermi level is 3.85 states/eV/cell. The calculation puts the density at 4.48 Mg/m³. The formation energy comes out at 90.5 kJ/mol of atoms. For the total DFT energy (no corrections), the calculation gives -4.150 eV/atom.


Compound: K2MnCd
Source: Alexandria
Functional: PBE-GGA
Structure: optimized geometry

The space group is Pm (No. 6) and the conventional cell measures 5.214, 4.836 and 6.988 Å, with angles of 90.00, 111.83 and 90.00 degrees. The asymmetric unit holds K at (0.000, 0.000, 0.000), K at (0.297, 0.500, 0.596), Mn at (0.698, 0.000, 0.397) and Cd at (0.595, 0.500, 0.190).

Its density of states at the Fermi level is 3.01 states/eV/cell. The calculation puts the density at 2.49 Mg/m³. The formation energy comes out at 44.5 kJ/mol of atoms. For the total DFT energy (no corrections), the calculation gives -2.609 eV/atom.


Compound: KMn2Cd
Source: Alexandria
Functional: PBE-GGA
Structure: optimized geometry

The space group is P4/mmm (No. 123) and the conventional cell measures 3.154, 3.154 and 9.626 Å, with angles of 90.00, 90.00 and 90.00 degrees. The asymmetric unit holds K at (0.000, 0.000, 0.000), Mn at (0.500, 0.500, 0.308) and Cd at (0.000, 0.000, 0.500).

Its density of states at the Fermi level is 3.32 states/eV/cell. The calculation puts the density at 4.53 Mg/m³. The formation energy comes out at 72.7 kJ/mol of atoms. For the total DFT energy (no corrections), the calculation gives -4.335 eV/atom.


Compound: K2MnCdN
Source: Alexandria
Functional: PBE-GGA
Structure: optimized geometry

The space group is P4/mmm (No. 123) and the conventional cell measures 6.630, 6.630 and 5.196 Å, with angles of 90.00, 90.00 and 90.00 degrees. The asymmetric unit holds K at (0.000, 0.500, 0.000), Mn at (0.000, 0.000, 0.500), Cd at (0.000, 0.000, 0.000) and N at (0.500, 0.500, 0.500).

The calculation puts the energy relative to the elements, uncorrected at 1363 meV/atom. Its density of states at the Fermi level is 4.94 states/eV/cell. The calculation puts the density at 1.89 Mg/m³. For the total DFT energy (no corrections), the calculation gives -2.758 eV/atom.